Record 1
# Mg2Cd3Au8 | Alexandria via LeMat-Bulk | GGA-PBE | relaxed
# D(E_F) (states/eV per atom): 0.456
# Electronic total energy (eV per atom): -2.631
# Energy relative to the elements (meV/atom): -157
data_Mg2Cd3Au8
_symmetry_space_group_name_H-M 'R -3 m'
_symmetry_Int_Tables_number 166
_symmetry_space_group_name_Hall '-R 3 2"'
_cell_length_a 5.4945
_cell_length_b 5.4945
_cell_length_c 30.8447
_cell_angle_alpha 90.00
_cell_angle_beta 90.00
_cell_angle_gamma 120.00
loop_
_atom_site_label
_atom_site_fract_x
_atom_site_fract_y
_atom_site_fract_z
Mg1 0.0000 0.0000 0.1353
Cd1 0.0000 0.0000 0.3136
Cd2 0.0000 0.0000 0.5000
Au1 0.0000 0.0000 0.2188
Au2 0.0004 0.5002 0.2716

Record 2
# VCr2I | Alexandria via LeMat-Bulk | GGA-PBE | relaxed
# D(E_F) (states/eV per atom): 1.341
# Electronic total energy (eV per atom): -6.313
# Energy relative to the elements, uncorrected (eV/atom): 1.17
data_VCr2I
_symmetry_space_group_name_H-M 'I -4 2 d'
_symmetry_Int_Tables_number 122
_symmetry_space_group_name_Hall 'I -4 2bw'
_cell_length_a 3.865
_cell_length_b 3.865
_cell_length_c 18.027
_cell_angle_alpha 90.00
_cell_angle_beta 90.00
_cell_angle_gamma 90.00
loop_
_atom_site_label
_atom_site_fract_x
_atom_site_fract_y
_atom_site_fract_z
V1 0.000 0.000 0.000
Cr1 0.180 0.250 0.125
I1 0.000 0.000 0.500